This record from the Alexandria database describes a relaxed structure of Cs3NpS4. The functional is PBE.

Computed properties:
Calculated density: 4.43 g cm⁻³
ΔE_f (raw): -1.181 eV/atom
Relative energy among the computed polymorphs: 0.00 eV/f.u.
E: -5.182 eV per atom

Cell lengths 4.2864, 8.4939, 8.4939 Å; angles 112.06, 90.00, 90.00 degrees
Fractional positions:
Cs: 0.5000 0.5000 0.5000
Cs: 0.0000 0.0000 0.5000
Cs: 0.0000 0.5000 0.0000
S: 0.5000 0.1777 0.8223
S: 0.0000 0.8131 0.8131
S: 0.0000 0.1869 0.1869
S: 0.5000 0.8223 0.1777
Np: 0.5000 0.0000 0.0000